No. 1
# KSnMoSe2 (PBEsol, optimized geometry)
# Crystal system = tetragonal
data_KSnMoSe2
_chemical_formula_sum 'K1 Sn1 Mo1 Se2'
_cell_length_a 5.4621
_cell_length_b 5.4621
_cell_length_c 5.2481
_cell_angle_alpha 90.00
_cell_angle_beta 90.00
_cell_angle_gamma 90.00
_space_group_name_H-M_alt 'P 4/m m m'
_space_group_IT_number 123
_space_group_name_Hall '-P 4 2'
loop_
_atom_site_label
_atom_site_type_symbol
_atom_site_fract_x
_atom_site_fract_y
_atom_site_fract_z
_atom_site_occupancy
K1 K 0.0000 0.0000 0.0000 1
Sn1 Sn 0.5000 0.5000 0.5000 1
Mo1 Mo 0.5000 0.5000 0.0000 1
Se1 Se 0.0000 0.5000 0.5000 1

No. 2
# K2SiMo (PBEsol, optimized geometry)
# Crystal system = monoclinic
data_K2SiMo
_chemical_formula_sum 'K4 Si2 Mo2'
_cell_length_a 20.6527
_cell_length_b 3.4004
_cell_length_c 3.5034
_cell_angle_alpha 90.00
_cell_angle_beta 98.64
_cell_angle_gamma 90.00
_space_group_name_H-M_alt 'C 1 2/m 1'
_space_group_IT_number 12
_space_group_name_Hall '-C 2y'
loop_
_atom_site_label
_atom_site_type_symbol
_atom_site_fract_x
_atom_site_fract_y
_atom_site_fract_z
_atom_site_occupancy
K1 K 0.1481 0.0000 0.1299 1
Si1 Si 0.0000 0.5000 0.0000 1
Mo1 Mo 0.0000 0.0000 0.5000 1

No. 3
# KSiMo (PBEsol, optimized geometry)
# Energy relative to the lowest polymorph listed for this composition = 1849 meV per atom
# Crystal system = cubic
data_KSiMo
_chemical_formula_sum 'K4 Si4 Mo4'
_cell_length_a 6.7464
_cell_length_b 6.7464
_cell_length_c 6.7464
_cell_angle_alpha 90.00
_cell_angle_beta 90.00
_cell_angle_gamma 90.00
_space_group_name_H-M_alt 'F -4 3 m'
_space_group_IT_number 216
_space_group_name_Hall 'F -4 2 3'
loop_
_atom_site_label
_atom_site_type_symbol
_atom_site_fract_x
_atom_site_fract_y
_atom_site_fract_z
_atom_site_occupancy
K1 K 0.0000 0.0000 0.0000 1
Si1 Si 0.2500 0.2500 0.2500 1
Mo1 Mo 0.2500 0.2500 0.7500 1

No. 4
# KSiMo (PBEsol, optimized geometry)
# Energy relative to the lowest polymorph listed for this composition = 0 meV per atom
# Crystal system = tetragonal
data_KSiMo
_chemical_formula_sum 'K2 Si2 Mo2'
_cell_length_a 3.3951
_cell_length_b 3.3951
_cell_length_c 12.5429
_cell_angle_alpha 90.00
_cell_angle_beta 90.00
_cell_angle_gamma 90.00
_space_group_name_H-M_alt 'I 4 m m'
_space_group_IT_number 107
_space_group_name_Hall 'I 4 -2'
loop_
_atom_site_label
_atom_site_type_symbol
_atom_site_fract_x
_atom_site_fract_y
_atom_site_fract_z
_atom_site_occupancy
K1 K 0.0000 0.0000 0.0000 1
Si1 Si 0.0000 0.0000 0.2550 1
Mo1 Mo 0.0000 0.0000 0.7365 1

Ordered raw formation energy results: 3.1; 1.6; 6.9; 1.3; unit eV/f.u..